No. 1
Material: SrHgSe
Method: DFT, GGA-PBE
State: relaxed

Cell: 7.438 7.438 4.282 Å, 73.27 73.28 33.46°
Sites, in units of the cell vectors:
Hg: 0.007 0.007 0.993
Se: 0.231 0.231 0.769
Sr: 0.762 0.762 0.238

Calculated values
Formation energy (no corrections) = -3.4 eV/f.u.


No. 2
Material: SrHg2Se
Method: DFT, GGA-PBE
State: relaxed

Cell: 8.925 8.925 6.990 Å, 50.33 50.33 90.00°
Sites, in units of the cell vectors:
Sr: 0.000 0.000 0.000
Sr: 0.750 0.250 0.500
Hg: 0.596 0.125 0.250
Hg: 0.154 0.625 0.250
Hg: 0.375 0.404 0.750
Hg: 0.875 0.846 0.750
Se: 0.500 0.500 0.000
Se: 0.250 0.750 0.500

Calculated values
Formation energy (no corrections) = -2.7 eV/f.u.


No. 3
Material: Sr2HgSe2
Method: DFT, GGA-PBE
State: relaxed

Cell: 8.671 8.671 3.970 Å, 90.00 90.00 90.00°
Sites, in units of the cell vectors:
Sr: 0.352 0.852 0.000
Sr: 0.852 0.648 0.000
Sr: 0.648 0.148 0.000
Sr: 0.148 0.352 0.000
Hg: 0.000 0.000 0.000
Hg: 0.500 0.500 0.000
Se: 0.154 0.654 0.500
Se: 0.654 0.846 0.500
Se: 0.846 0.346 0.500
Se: 0.346 0.154 0.500

Calculated values
Formation energy (no corrections) = -7.2 eV/f.u.


No. 4
Material: SrHgSe2
Method: DFT, GGA-PBE
State: relaxed

Cell: 9.073 9.073 9.073 Å, 27.40 27.40 27.40°
Sites, in units of the cell vectors:
Sr: 0.000 0.000 0.000
Hg: 0.500 0.500 0.500
Se: 0.889 0.889 0.889
Se: 0.111 0.111 0.111

Calculated values
Formation energy (no corrections) = -1.0 eV/f.u.


No. 5
Material: SrHgSe3
Method: DFT, GGA-PBE
State: relaxed

Cell: 5.300 5.300 5.300 Å, 90.00 90.00 90.00°
Sites, in units of the cell vectors:
Sr: 0.500 0.500 0.500
Hg: 0.000 0.000 0.000
Se: 0.000 0.500 0.000
Se: 0.000 0.000 0.500
Se: 0.500 0.000 0.000

Calculated values
Formation energy (no corrections) = -2.0 eV/f.u.


No. 6
Material: Sr2HgSe
Method: DFT, GGA-PBE
State: relaxed

Cell: 8.420 8.420 7.269 Å, 54.61 54.61 90.00°
Sites, in units of the cell vectors:
Sr: 0.597 0.125 0.250
Sr: 0.153 0.625 0.250
Sr: 0.375 0.403 0.750
Sr: 0.875 0.847 0.750
Hg: 0.000 0.000 0.000
Hg: 0.750 0.250 0.500
Se: 0.500 0.500 0.000
Se: 0.250 0.750 0.500

Calculated values
Formation energy (no corrections) = -3.9 eV/f.u.


No. 7
Material: SrHgSe2
Method: DFT, GGA-PBE
State: relaxed

Cell: 6.816 6.816 6.816 Å, 143.88 143.88 52.01°
Sites, in units of the cell vectors:
Hg: 0.750 0.250 0.500
Se: 0.000 0.000 0.000
Se: 0.250 0.750 0.500
Sr: 0.500 0.500 0.000

Calculated values
Formation energy (no corrections) = -3.2 eV/f.u.


No. 8
Material: Sr2HgSe
Method: DFT, GGA-PBE
State: relaxed

Cell: 5.636 5.636 5.636 Å, 60.00 60.00 60.00°
Sites, in units of the cell vectors:
Hg: 0.500 0.500 0.500
Se: 0.750 0.750 0.750
Sr: 0.000 0.000 0.000
Sr: 0.250 0.250 0.250

Calculated values
Formation energy (no corrections) = -1.7 eV/f.u.


No. 9
Material: SrHgSe
Method: DFT, GGA-PBE
State: relaxed

Cell: 4.569 4.569 5.412 Å, 90.00 90.00 120.00°
Sites, in units of the cell vectors:
Hg: 0.000 0.000 0.026
Se: 0.667 0.333 0.350
Sr: 0.333 0.667 0.624

Calculated values
Formation energy (no corrections) = -3.3 eV/f.u.


No. 10
Material: SrHgSe
Method: DFT, GGA-PBE
State: relaxed

Cell: 5.238 5.238 5.238 Å, 60.00 60.00 60.00°
Sites, in units of the cell vectors:
Hg: 0.000 0.000 0.000
Se: 0.500 0.500 0.500
Sr: 0.750 0.750 0.750

Calculated values
Formation energy (no corrections) = -3.1 eV/f.u.


No. 11
Material: Sr2HgSe
Method: DFT, GGA-PBE
State: relaxed

Cell: 4.372 4.372 8.654 Å, 75.38 75.38 59.98°
Sites, in units of the cell vectors:
Hg: 0.750 0.750 0.750
Se: 0.250 0.250 0.250
Sr: 0.991 0.991 0.027
Sr: 0.509 0.509 0.473

Calculated values
Formation energy (no corrections) = -4.6 eV/f.u.


No. 12
Material: SrHg2Se
Method: DFT, GGA-PBE
State: relaxed

Cell: 6.987 6.992 6.992 Å, 143.79 143.67 52.24°
Sites, in units of the cell vectors:
Hg: 0.993 0.994 0.000
Hg: 0.507 0.506 0.000
Se: 0.750 0.250 0.500
Sr: 0.250 0.750 0.500

Calculated values
Formation energy (no corrections) = -3.4 eV/f.u.


No. 13
Material: SrHgSe3
Method: DFT, GGA-PBE
State: relaxed

Cell: 6.020 6.020 6.020 Å, 90.00 90.00 90.00°
Sites, in units of the cell vectors:
Sr: 0.000 0.000 0.000
Hg: 0.500 0.500 0.500
Se: 0.000 0.500 0.000
Se: 0.000 0.000 0.500
Se: 0.500 0.000 0.000

Calculated values
Formation energy (no corrections) = 0.4 eV/f.u.


No. 14
Material: SrHgSe2
Method: DFT, GGA-PBE
State: relaxed

Cell: 4.395 4.244 7.111 Å, 79.14 90.00 90.00°
Sites, in units of the cell vectors:
Sr: 0.000 0.524 0.439
Hg: 0.500 0.993 0.965
Se: 0.000 0.927 0.772
Se: 0.500 0.056 0.324

Calculated values
Formation energy (no corrections) = -4.3 eV/f.u.


No. 15
Material: SrHgSe2
Method: DFT, GGA-PBE
State: relaxed

Cell: 8.175 5.115 3.913 Å, 87.11 65.45 129.81°
Sites, in units of the cell vectors:
Hg: 0.500 0.500 0.000
Se: 0.000 0.000 0.000
Se: 0.500 0.000 0.500
Sr: 0.000 0.500 0.500

Calculated values
Formation energy (no corrections) = -3.3 eV/f.u.


No. 16
Material: Sr2HgSe2
Method: DFT, GGA-PBE
State: relaxed

Cell: 8.688 8.688 3.948 Å, 90.00 90.00 90.00°
Sites, in units of the cell vectors:
Sr: 0.154 0.654 0.500
Sr: 0.654 0.846 0.500
Sr: 0.846 0.346 0.500
Sr: 0.346 0.154 0.500
Hg: 0.000 0.000 0.000
Hg: 0.500 0.500 0.000
Se: 0.353 0.853 0.000
Se: 0.853 0.647 0.000
Se: 0.647 0.147 0.000
Se: 0.147 0.353 0.000

Calculated values
Formation energy (no corrections) = -7.0 eV/f.u.


No. 17
Material: SrHgSe2
Method: DFT, GGA-PBE
State: relaxed

Cell: 5.507 5.507 5.507 Å, 110.70 132.52 88.33°
Sites, in units of the cell vectors:
Hg: 0.250 0.750 0.500
Se: 0.972 0.972 0.000
Se: 0.528 0.528 0.000
Sr: 0.750 0.250 0.500

Calculated values
Formation energy (no corrections) = -3.3 eV/f.u.


No. 18
Material: SrHgSe
Method: DFT, GGA-PBE
State: relaxed

Cell: 4.406 4.406 18.785 Å, 90.00 90.00 90.00°
Sites, in units of the cell vectors:
Sr: 0.000 0.000 0.833
Sr: 0.000 0.000 0.167
Sr: 0.500 0.500 0.333
Sr: 0.500 0.500 0.667
Hg: 0.000 0.500 0.000
Hg: 0.500 0.000 0.000
Hg: 0.500 0.000 0.500
Hg: 0.000 0.500 0.500
Se: 0.000 0.000 0.333
Se: 0.000 0.000 0.667
Se: 0.500 0.500 0.833
Se: 0.500 0.500 0.167

Calculated values
Formation energy (no corrections) = -3.8 eV/f.u.


No. 19
Material: Sr2HgSe
Method: DFT, GGA-PBE
State: relaxed

Cell: 5.808 5.808 5.808 Å, 126.23 126.23 79.52°
Sites, in units of the cell vectors:
Hg: 0.250 0.750 0.500
Se: 0.750 0.250 0.500
Sr: 0.000 0.000 0.000
Sr: 0.500 0.500 0.000

Calculated values
Formation energy (no corrections) = -3.6 eV/f.u.


No. 20
Material: Sr2HgSe
Method: DFT, GGA-PBE
State: relaxed

Cell: 5.598 5.598 5.598 Å, 60.00 60.00 60.00°
Sites, in units of the cell vectors:
Sr: 0.250 0.250 0.250
Sr: 0.750 0.750 0.750
Hg: 0.500 0.500 0.500
Se: 0.000 0.000 0.000

Calculated values
Formation energy (no corrections) = -3.6 eV/f.u.